First-principles (PBE-GGA) data for a relaxed structure of Tl3In2I8, as listed in Alexandria via LeMat-Bulk.

Cell: 10.9052 10.9052 10.9052 Å, 47.06 47.06 47.06°
Closest atoms and distances in Å follow each position.
Fractional positions:
Tl: 0.0000 0.0000 0.0000  6 I 3.72
Tl: 0.1917 0.1917 0.1917  4 I 3.33-3.52
Tl: 0.8083 0.8083 0.8083  4 I 3.33-3.52
In: 0.4033 0.4033 0.4033  4 I 2.82-2.86
In: 0.5967 0.5967 0.5967  4 I 2.82-2.86
I: 0.2060 0.7465 0.7465  1 In 2.86
I: 0.2535 0.2535 0.7940  1 In 2.86
I: 0.2535 0.7940 0.2535  1 In 2.86
I: 0.3063 0.3063 0.3063  1 In 2.82
I: 0.6937 0.6937 0.6937  1 In 2.82
I: 0.7465 0.2060 0.7465  1 In 2.86
I: 0.7465 0.7465 0.2060  1 In 2.86
I: 0.7940 0.2535 0.2535  1 In 2.86

Uncorrected formation energy   -0.499 eV per atom
DOS(E_F)   2.89 states/eV/cell
Final energy   -2.42 eV per atom


First-principles (PBE-GGA) data for a relaxed structure of CuSbTe2H, as listed in Alexandria via LeMat-Bulk.

Cell: 5.2676 5.2676 5.0355 Å, 90.00 90.00 90.00°
Closest atoms and distances in Å follow each position.
Fractional positions:
Cu: 0.0000 0.0000 0.0000  2 Sb 2.52, 4 Te 2.63
Sb: 0.0000 0.0000 0.5000  2 Cu 2.52
Te: 0.0000 0.5000 0.0000  2 Cu 2.63
Te: 0.5000 0.0000 0.0000  2 Cu 2.63
H: 0.5000 0.5000 0.5000  8 Te 3.64, 4 Sb 3.72

DOS(E_F)   3.38 states/eV/cell
Final energy   -2.75 eV per atom


First-principles (PBE-GGA) data for a relaxed structure of ScTcPtPb2, as listed in Alexandria via LeMat-Bulk.

Cell: 5.5609 5.5609 4.7553 Å, 90.00 90.00 90.00°
Closest atoms and distances in Å follow each position.
Fractional positions:
Sc: 0.0000 0.0000 0.0000  2 Tc 2.38
Tc: 0.0000 0.0000 0.5000  2 Sc 2.38
Pt: 0.5000 0.5000 0.5000  8 Pb 3.66, 4 Tc 3.93
Pb: 0.0000 0.5000 0.0000  2 Sc 2.78
Pb: 0.5000 0.0000 0.0000  2 Sc 2.78

Calculated formation energy   1202 meV per atom
DOS(E_F)   4.29 states/eV/cell
Final energy   -4.83 eV per atom


First-principles (PBE-GGA) data for a relaxed structure of SrSbPbBr2, as listed in Alexandria via LeMat-Bulk.

Cell: 5.7362 5.7362 5.9977 Å, 90.00 90.00 90.00°
Closest atoms and distances in Å follow each position.
Fractional positions:
Sr: 0.0000 0.0000 0.0000  4 Sb 4.06, 8 Br 4.15
Sb: 0.5000 0.5000 0.0000  2 Pb 3.00
Pb: 0.5000 0.5000 0.5000  4 Br 2.87, 2 Sb 3.00
Br: 0.0000 0.5000 0.5000  2 Pb 2.87
Br: 0.5000 0.0000 0.5000  2 Pb 2.87

Uncorrected formation energy   -0.607 eV per atom
DOS(E_F)   3.12 states/eV/cell
Final energy   -3.18 eV per atom


First-principles (PBE-GGA) data for a relaxed structure of KInH, as listed in Alexandria via LeMat-Bulk.

Cell: 4.1032 4.1739 10.6996 Å, 90.00 100.86 90.00°
Closest atoms and distances in Å follow each position.
Fractional positions:
K: 0.1044 0.2500 0.2051  4 H 3.04
K: 0.8956 0.7500 0.7949  4 H 3.04
In: 0.2677 0.2500 0.5363  1 H 1.89
In: 0.7323 0.7500 0.4637  1 H 1.89
H: 0.3563 0.2500 0.7161  1 In 1.89
H: 0.6437 0.7500 0.2839  1 In 1.89

DOS(E_F)   1.10 states/eV/cell
Final energy   -2.44 eV per atom


First-principles (PBE-GGA) data for a relaxed structure of LiNb2CdH, as listed in Alexandria via LeMat-Bulk.

Cell: 3.9749 3.9749 4.6853 Å, 90.00 90.00 90.00°
Closest atoms and distances in Å follow each position.
Fractional positions:
Li: 0.0000 0.0000 0.0000  2 H 2.34
Nb: 0.0000 0.5000 0.5000  2 H 1.99
Nb: 0.5000 0.0000 0.5000  2 H 1.99
Cd: 0.5000 0.5000 0.0000  4 Li 2.81, 8 Nb 3.07
H: 0.0000 0.0000 0.5000  4 Nb 1.99

DOS(E_F)   3.05 states/eV/cell
Final energy   -5.23 eV per atom


First-principles (PBE-GGA) data for a relaxed structure of Ti2AlGeI, as listed in Alexandria via LeMat-Bulk.

Cell: 4.9037 4.9037 5.5869 Å, 90.00 90.00 90.00°
Closest atoms and distances in Å follow each position.
Fractional positions:
Ti: 0.0000 0.5000 0.0000  2 Ge 2.45
Ti: 0.5000 0.0000 0.0000  2 Ge 2.45
Al: 0.0000 0.0000 0.5000  4 I 3.47, 8 Ti 3.72
Ge: 0.5000 0.5000 0.0000  4 Ti 2.45
I: 0.5000 0.5000 0.5000  2 Ge 2.79

Uncorrected formation energy   0.860 eV per atom
DOS(E_F)   6.34 states/eV/cell
Final energy   -4.28 eV per atom


First-principles (PBE-GGA) data for a relaxed structure of TaTlF3, as listed in Alexandria via LeMat-Bulk.

Cell: 4.6512 4.6512 4.6512 Å, 90.00 90.00 90.00°
Closest atoms and distances in Å follow each position.
Fractional positions:
Ta: 0.0000 0.0000 0.0000  12 F 3.29
Tl: 0.5000 0.5000 0.5000  6 F 2.33
F: 0.0000 0.5000 0.5000  2 Tl 2.33
F: 0.5000 0.0000 0.5000  2 Tl 2.33
F: 0.5000 0.5000 0.0000  2 Tl 2.33

Uncorrected formation energy   -0.238 eV per atom
DOS(E_F)   16.71 states/eV/cell
Final energy   -4.20 eV per atom